# 1
10
Lattice="6.5424 0.0000 0.0000 0.0000 6.5424 0.0000 0.0000 0.0000 4.3403" Properties=species:S:1:pos:R:3 comment="LiZr2Zn2, relaxed, DFT GGA-PBE" e_tot_ev_per_fu=-22.07 crystal_system=tetragonal relative_energy_mev_per_atom=0 magnetic_moment_mub_per_fu=0.0 pbc="T T T"
Li 3.2712 3.2712 0.0000
Li 0.0000 0.0000 0.0000
Zr 1.1020 4.3732 2.1702
Zr 2.1692 1.1020 2.1702
Zr 5.4404 2.1692 2.1702
Zr 4.3732 5.4404 2.1702
Zn 2.3799 5.6511 0.0000
Zn 5.6511 4.1625 0.0000
Zn 4.1625 0.8913 0.0000
Zn 0.8913 2.3799 0.0000

# 2
7
Lattice="-3.9807 -0.5872 -3.1767 1.3897 -5.1284 3.3434 -4.8292 3.5314 5.3986" Properties=species:S:1:pos:R:3 comment="La2Sm2YTm2, relaxed, DFT GGA-PBE" e_tot_ev_per_fu=-34.49 crystal_system=monoclinic magnetic_moment_mub_per_fu=0.0 pbc="T T T"
Tm -2.9143 -2.1460 -0.0882
Tm -4.5060 -0.0383 5.6535
La -2.2450 -0.0398 2.8206
La -5.1752 -2.1444 2.7446
Sm -5.5553 1.4784 2.5512
Sm -1.8650 -3.6627 3.0140
Y 0.0000 0.0000 0.0000

# 3
4
Lattice="-0.9547 -2.9517 0.2680 0.6292 0.0733 3.0486 -6.2101 2.1204 1.2307" Properties=species:S:1:pos:R:3 comment="YFe2Tc, relaxed, DFT GGA-PBE" e_tot_ev_per_fu=-32.87 crystal_system=tetragonal relative_energy_mev_per_atom=103 magnetic_moment_mub_per_fu=3.9 pbc="T T T"
Fe -2.7767 0.9481 0.5503
Fe -0.3284 0.1121 0.0651
Y -4.8204 0.1511 2.5813
Tc -1.7153 -0.9091 1.9660

# 4
4
Lattice="4.2622 0.0000 0.0000 2.1311 3.6912 0.0000 2.1311 1.2304 7.1176" Properties=species:S:1:pos:R:3 comment="PuScTe2, relaxed, DFT GGA-PBE" raw_formation_energy_mev_per_atom=-1110 e_tot_ev_per_fu=-31.39 crystal_system=trigonal relative_energy_mev_per_atom=0 magnetic_moment_mub_per_fu=6.0 pbc="T T T"
Sc 0.0000 0.0000 0.0000
Te 6.3933 3.6912 5.4736
Te 2.1311 1.2304 1.6440
Pu 4.2622 2.4608 3.5588

# 5
5
Lattice="-3.0593 -0.7372 3.6513 -3.1179 -2.0785 -3.0320 2.0381 -4.2861 0.8423" Properties=species:S:1:pos:R:3 comment="AgHW3, relaxed, DFT GGA-PBE" e_tot_ev_per_fu=-26.77 crystal_system=cubic relative_energy_mev_per_atom=3194 magnetic_moment_mub_per_fu=0.0 pbc="T T T"
W -1.5296 -0.3686 1.8256
W -1.5589 -1.0392 -1.5160
W 1.0191 -2.1431 0.4212
H -2.0695 -3.5509 0.7308
Ag 0.0000 0.0000 0.0000

# 6
4
Lattice="-0.4726 3.2909 2.2692 -3.6446 0.9669 1.4088 0.4837 -4.3609 9.9952" Properties=species:S:1:pos:R:3 comment="CaNpI2, relaxed, DFT GGA-PBE" raw_formation_energy_mev_per_atom=-344 e_tot_ev_per_fu=-19.42 crystal_system=trigonal magnetic_moment_mub_per_fu=5.8 pbc="T T T"
Ca -1.8168 -0.0515 6.8366
Np 0.0000 0.0000 0.0000
I -3.5438 2.4719 6.3875
I -0.0898 -2.5749 7.2857